DFT (meta-GGA SCAN) results for a PBEsol-optimized structure of NaSiBiRh2.

Unit cell a=4.6015 b=4.6015 c=4.8428 alpha=90.00 beta=90.00 gamma=90.00
Last column: nearest neighbours and their distance in Å.
Atoms (fractional coordinates):
Na 0.0000 0.0000 0.0000  4 Rh 2.30, 2 Bi 2.42
Si 0.5000 0.5000 0.5000  4 Bi 3.25, 8 Rh 3.34
Rh 0.0000 0.5000 0.0000  2 Na 2.30
Rh 0.5000 0.0000 0.0000  2 Na 2.30
Bi 0.0000 0.0000 0.5000  2 Na 2.42

## Properties
* formation energy from raw total energies: 1683 meV per atom
* size of the total moment: 0.00 μB per cell
* space-group type: No. 123

DFT (meta-GGA SCAN) results for a PBEsol-optimized structure of NaBiRh2W.

Unit cell a=4.7444 b=4.7444 c=5.2918 alpha=90.00 beta=90.00 gamma=90.00
Last column: nearest neighbours and their distance in Å.
Atoms (fractional coordinates):
Na 0.5000 0.5000 0.5000  4 Bi 3.35, 8 Rh 3.55
Rh 0.0000 0.5000 0.0000  2 W 2.37
Rh 0.5000 0.0000 0.0000  2 W 2.37
Bi 0.0000 0.0000 0.5000  2 W 2.65
W 0.0000 0.0000 0.0000  4 Rh 2.37, 2 Bi 2.65

## Properties
* size of the total moment: 0.00 μB per cell
* space-group type: No. 123
* E_form: 851.8 meV/atom

DFT (meta-GGA SCAN) results for a PBEsol-optimized structure of Na2BiS2.

Unit cell a=4.0118 b=4.0118 c=7.3014 alpha=105.95 beta=105.95 gamma=90.00
Last column: nearest neighbours and their distance in Å.
Atoms (fractional coordinates):
Na 0.2500 0.7500 0.5000  4 S 2.72, 4 Na 2.84
Na 0.7500 0.2500 0.5000  4 S 2.72, 4 Na 2.84
S 0.3868 0.3868 0.7736  4 Na 2.72, 1 S 3.05
S 0.6132 0.6132 0.2264  4 Na 2.72, 1 S 3.05
Bi 0.0000 0.0000 0.0000  8 S 3.22

## Properties
* formation energy from raw total energies: -378 meV per atom
* size of the total moment: 0.00 μB per cell
* space-group type: No. 139

DFT (meta-GGA SCAN) results for a PBEsol-optimized structure of Na2BiS2.

Unit cell a=3.7551 b=7.6131 c=7.6131 alpha=90.00 beta=90.00 gamma=90.00
Last column: nearest neighbours and their distance in Å.
Atoms (fractional coordinates):
Na 0.5000 0.1325 0.6325  6 S 2.81-3.01, 1 Na 2.85
Na 0.5000 0.6325 0.8675  6 S 2.81-3.01, 1 Na 2.85
Na 0.5000 0.8675 0.3675  6 S 2.81-3.01, 1 Na 2.85
Na 0.5000 0.3675 0.1325  6 S 2.81-3.01, 1 Na 2.85
S 0.0000 0.3265 0.8265  6 Na 2.81-3.01, 2 Bi 2.81
S 0.0000 0.8265 0.6735  6 Na 2.81-3.01, 2 Bi 2.81
S 0.0000 0.6735 0.1735  6 Na 2.81-3.01, 2 Bi 2.81
S 0.0000 0.1735 0.3265  6 Na 2.81-3.01, 2 Bi 2.81
Bi 0.0000 0.0000 0.0000  4 S 2.81
Bi 0.0000 0.5000 0.5000  4 S 2.81

## Properties
* formation energy from raw total energies: -811 meV per atom
* size of the total moment: 0.00 μB per cell
* space-group type: No. 127

DFT (meta-GGA SCAN) results for a PBEsol-optimized structure of NaTiBi2S.

Unit cell a=4.4579 b=5.5925 c=5.5925 alpha=90.00 beta=90.00 gamma=90.00
Last column: nearest neighbours and their distance in Å.
Atoms (fractional coordinates):
Na 0.5000 0.5000 0.5000  8 Bi 3.58, 4 Ti 3.95
S 0.0000 0.0000 0.0000  2 Ti 2.23
Bi 0.0000 0.0000 0.5000  2 S 2.80
Bi 0.0000 0.5000 0.0000  2 S 2.80
Ti 0.5000 0.0000 0.0000  2 S 2.23

## Properties
* formation energy from raw total energies: 27 meV per atom
* size of the total moment: 1.13 μB per cell
* space-group type: No. 123

DFT (meta-GGA SCAN) results for a PBEsol-optimized structure of Na3BiSb.

Unit cell a=5.8329 b=5.8329 c=5.8329 alpha=90.00 beta=90.00 gamma=90.00
Last column: nearest neighbours and their distance in Å.
Atoms (fractional coordinates):
Sb 0.5000 0.5000 0.5000  12 Na 4.12
Bi 0.0000 0.0000 0.0000  6 Na 2.92
Na 0.0000 0.5000 0.0000  2 Bi 2.92
Na 0.0000 0.0000 0.5000  2 Bi 2.92
Na 0.5000 0.0000 0.0000  2 Bi 2.92

## Properties
* energy above the most stable polymorph in this dataset: 47 meV/atom
* formation energy from raw total energies: 163 meV per atom
* size of the total moment: 3.03 μB per cell
* space-group type: No. 221

Short version: calculated volume = 20.5; 23.8; 21.7; 21.8; 27.9; 39.7 Å³ per atom, in the order given.